1.
This record from OQMD describes RbTlIn4Au2 after structural relaxation. The functional is PBE-GGA.

Cell and atoms, written as extended XYZ:
```
8
Lattice="7.993 0.000 0.000 0.000 2.361 5.798 0.000 -2.361 5.798" Properties=species:S:1:pos:R:3 pbc="T T T"
Au 3.997 0.000 8.214
Au 0.000 0.000 3.228
In 6.321 0.000 9.915
In 1.672 0.000 9.915
In 2.455 0.000 1.770
In 5.539 0.000 1.770
Rb 0.000 0.000 6.479
Tl 3.997 0.000 5.095
```

- final energy (Ry/atom) = -0.20310
- crystal system = orthorhombic
- symmetry = Amm2, No. 38


2.
This record from OQMD describes InReAuSe2S after structural relaxation. The functional is PBE-GGA.

Cell and atoms, written as extended XYZ:
```
12
Lattice="1.812 -8.687 0.000 1.812 8.687 0.000 0.000 0.000 8.959" Properties=species:S:1:pos:R:3 pbc="T T T"
In 1.812 5.390 6.719
In 1.812 -5.390 2.240
Au 1.812 -5.322 6.719
Au 1.812 5.322 2.240
Re 1.812 0.000 4.479
Re 1.812 0.000 0.000
Se 1.812 -6.846 4.579
Se 1.812 6.846 0.100
Se 1.812 6.846 4.379
Se 1.812 -6.846 8.859
S 1.812 0.094 2.240
S 1.812 -0.094 6.719
```

- magnetic moment (μB/f.u.) = 0.6
- final energy (Ry/atom) = -0.36906
- crystal system = orthorhombic
- symmetry = Cmcm, No. 63


Question: Look up the final energy of the second one.
Answer: -0.36906 Ry/atom


Please write out number 1 again, unchanged.
This record from OQMD describes RbTlIn4Au2 after structural relaxation. The functional is PBE-GGA.

Cell and atoms, written as extended XYZ:
```
8
Lattice="7.993 0.000 0.000 0.000 2.361 5.798 0.000 -2.361 5.798" Properties=species:S:1:pos:R:3 pbc="T T T"
Au 3.997 0.000 8.214
Au 0.000 0.000 3.228
In 6.321 0.000 9.915
In 1.672 0.000 9.915
In 2.455 0.000 1.770
In 5.539 0.000 1.770
Rb 0.000 0.000 6.479
Tl 3.997 0.000 5.095
```

- final energy (Ry/atom) = -0.20310
- crystal system = orthorhombic
- symmetry = Amm2, No. 38


Copy entry 2 word for word.
This record from OQMD describes InReAuSe2S after structural relaxation. The functional is PBE-GGA.

Cell and atoms, written as extended XYZ:
```
12
Lattice="1.812 -8.687 0.000 1.812 8.687 0.000 0.000 0.000 8.959" Properties=species:S:1:pos:R:3 pbc="T T T"
In 1.812 5.390 6.719
In 1.812 -5.390 2.240
Au 1.812 -5.322 6.719
Au 1.812 5.322 2.240
Re 1.812 0.000 4.479
Re 1.812 0.000 0.000
Se 1.812 -6.846 4.579
Se 1.812 6.846 0.100
Se 1.812 6.846 4.379
Se 1.812 -6.846 8.859
S 1.812 0.094 2.240
S 1.812 -0.094 6.719
```

- magnetic moment (μB/f.u.) = 0.6
- final energy (Ry/atom) = -0.36906
- crystal system = orthorhombic
- symmetry = Cmcm, No. 63


Question: What is the formula in the first record?
Answer: RbTlIn4Au2